(1)
LiAgClF: optimized geometry, PBE.

Properties
raw formation energy = -565 kJ/mol of formula units
symmetry = No. 160
theoretical density = 3.55 g/cm3

Geometry as extended XYZ:
```
4
Lattice="-0.0107 0.0448 -3.8183 -3.1661 -0.9501 -1.9117 -2.9001 5.6819 -1.8346" Properties=species:S:1:pos:R:3 pbc="T T T"
F -2.5621 0.8402 -3.8018
Li -3.1005 2.5902 -3.7798
Cl -2.3051 3.7484 -1.8590
Ag -3.3202 -0.4391 -5.7241
```


(2)
MgAg2Cl2F2: optimized geometry, PBE.

Properties
raw formation energy = -1106 kJ/mol of formula units
symmetry = No. 139
theoretical density = 4.68 g/cm3

Geometry as extended XYZ:
```
7
Lattice="-3.7054 -0.9099 0.7903 0.4605 -3.4302 -1.7901 3.9551 -1.1997 7.5570" Properties=species:S:1:pos:R:3 pbc="T T T"
F -1.8527 -0.4550 0.3952
F 0.2303 -1.7151 -0.8951
Cl -0.0563 -4.4325 4.2382
Cl 0.7665 -1.1073 2.3190
Ag -0.9269 -3.1748 1.6043
Ag 1.6372 -2.3650 4.9529
Mg 0.0000 0.0000 0.0000
```


(3)
MgAgCl2F: optimized geometry, PBE.

Properties
raw formation energy = -788 kJ/mol of formula units
symmetry = No. 123
theoretical density = 3.83 g/cm3

Geometry as extended XYZ:
```
5
Lattice="5.0516 0.0000 0.0000 0.0000 3.7733 0.0000 0.0000 0.0000 5.0516" Properties=species:S:1:pos:R:3 pbc="T T T"
Mg 0.0000 0.0000 0.0000
F 0.0000 1.8866 0.0000
Cl 0.0000 0.0000 2.5258
Cl 2.5258 0.0000 0.0000
Ag 2.5258 1.8866 2.5258
```


(4)
MgAg2ClF: optimized geometry, PBE.

Properties
raw formation energy = -179 kJ/mol of formula units
symmetry = No. 123
theoretical density = 4.42 g/cm3

Geometry as extended XYZ:
```
5
Lattice="4.4089 0.0000 0.0000 0.0000 5.6864 0.0000 0.0000 0.0000 4.4089" Properties=species:S:1:pos:R:3 pbc="T T T"
Cl 0.0000 2.8432 0.0000
F 0.0000 0.0000 0.0000
Ag 2.2045 0.0000 0.0000
Ag 0.0000 0.0000 2.2045
Mg 2.2045 2.8432 2.2045
```